Compound: Dy2NpS3
Source: Alexandria
Functional: PBE
Structure: optimized geometry

The space group is I4/mmm (No. 139) and the conventional cell measures 3.900, 3.900 and 16.642 Å, with angles of 90.00, 90.00 and 90.00 degrees. The inequivalent atoms are Dy at (0.000, 0.000, 0.164), Np at (0.000, 0.000, 0.500), S at (0.000, 0.000, 0.000) and S at (0.000, 0.000, 0.331).

The uncorrected formation energy comes out at -1.806 eV/atom. For the total DFT energy (no corrections), the calculation gives -45.36 eV/f.u. The value obtained for the magnetic moment is 0.744 μB per atom.